This record from Alexandria via LeMat-Bulk describes a geometry-optimized HoV2O6 structure. The functional is PBE+U.

```
data_HoV2O6
_chemical_formula_sum 'Ho2 V4 O12'
_cell_length_a 5.255
_cell_length_b 5.861
_cell_length_c 8.921
_cell_angle_alpha 90.00
_cell_angle_beta 125.79
_cell_angle_gamma 90.00
_space_group_name_H-M_alt 'P 1 c 1'
_space_group_IT_number 7
loop_
_space_group_symop_operation_xyz
'x,y,z'
'x,-y,z+1/2'
loop_
_atom_site_label
_atom_site_type_symbol
_atom_site_fract_x
_atom_site_fract_y
_atom_site_fract_z
Ho1 Ho 0.000 0.118 0.000
V1 V 0.196 0.328 0.742
V2 V 0.706 0.325 0.258
O1 O 0.089 0.263 0.509
O2 O 0.361 0.327 0.995
O3 O 0.532 0.085 0.282
O4 O 0.611 0.400 0.817
O5 O 0.973 0.085 0.723
O6 O 0.988 0.411 0.187
```

Output
The total energy comes out at -70.3 eV/f.u.